The following is a DFT calculation (PBE) of BaLa2Rh9 after structural relaxation.

Geometry as POSCAR:
```
BaLa2Rh9
1.0
2.711 1.565 8.880
-2.711 1.565 8.880
0.000 -3.130 8.880
Ba La Rh
1 2 9
direct
0.000 0.000 0.000 Ba
0.138 0.138 0.138 La
0.862 0.862 0.862 La
0.084 0.582 0.582 Rh
0.332 0.332 0.332 Rh
0.418 0.418 0.916 Rh
0.418 0.916 0.418 Rh
0.500 0.500 0.500 Rh
0.582 0.084 0.582 Rh
0.582 0.582 0.084 Rh
0.668 0.668 0.668 Rh
0.916 0.418 0.418 Rh
```

Summary:
energy of formation	-360	meV per atom
electronic total energy	-82.25	eV/cell
density of states at the Fermi level	14.84	states/eV/cell